Entry from Alexandria: an optimized crystal structure of CoSi2Br2 (PBE).

```
5
Lattice="3.362 0.000 0.000 0.000 3.362 0.000 1.681 1.681 11.186" Properties=species:S:1:pos:R:3 pbc="T T T"
Br 1.681 1.681 1.581
Br 3.362 3.362 9.604
Si 3.362 1.681 5.593
Si 1.681 3.362 5.593
Co 0.000 0.000 0.000
```

Properties
energy above the most stable polymorph in this dataset = 0.000 eV/atom
crystal system = tetragonal
spin magnetization = 2.8 μB/f.u.
calculated density = 3.61 Mg/m³
raw formation energy = 0.45 eV/atom
SG = I4/mmm